This record from the Alexandria database describes a relaxed structure of CoSnTe2F. The functional is PBE with a Hubbard U.

a = 5.2057 Å, b = 5.2057 Å, c = 4.6361 Å
α = 90.00°, β = 90.00°, γ = 90.00°
With the nearest neighbours (Å) after each atom.
Sites, in units of the cell vectors:
Co (0.0000, 0.0000, 0.0000)  8 Te 3.49, 4 Sn 3.68
Sn (0.5000, 0.5000, 0.0000)  2 F 2.32
Te (0.0000, 0.5000, 0.5000)  2 F 2.60
Te (0.5000, 0.0000, 0.5000)  2 F 2.60
F (0.5000, 0.5000, 0.5000)  2 Sn 2.32

Calculated values
* calculated total energy: -3.221 eV per atom
* magnetic moment: 2.33 Bohr magnetons per cell
* ρ: 5.97 g cm⁻³